Material: Nd6Tm12Sc
Method: DFT, PBE
State: relaxed

Cell lengths 8.581, 8.581, 8.581 Å; angles 79.86, 79.86, 79.86 degrees
Sites, in units of the cell vectors:
Tm: 0.863 0.863 0.518
Nd: 0.229 0.836 0.229
Tm: 0.486 0.486 0.805
Tm: 0.863 0.518 0.863
Tm: 0.518 0.863 0.863
Tm: 0.805 0.486 0.486
Nd: 0.771 0.164 0.771
Tm: 0.514 0.514 0.195
Sc: 0.000 0.000 0.000
Nd: 0.771 0.771 0.164
Tm: 0.486 0.805 0.486
Nd: 0.836 0.229 0.229
Nd: 0.164 0.771 0.771
Tm: 0.137 0.482 0.137
Tm: 0.514 0.195 0.514
Tm: 0.482 0.137 0.137
Tm: 0.195 0.514 0.514
Nd: 0.229 0.229 0.836
Tm: 0.137 0.137 0.482

Energy of formation from the pure elements ... 0.116 eV per atom
Space group ... R-3m (166)